1.
Material: BaTl2Ag
Method: DFT, GGA-PBE
State: relaxed

Volume: 130.0 Å³/f.u.
Distance to the lowest polymorph of the same formula: 0.0371 eV per atom
DFT formation energy: -221 meV per atom
Magnetic moment: 0.0 μB/f.u.

Cell and atoms, written as POSCAR:
```
BaTl2Ag
1.0
8.4978 0.0000 0.0000
0.0000 4.9360 0.0000
-2.8696 0.0000 6.2006
Ba Tl Ag
2 4 2
direct
0.0000 0.0000 0.0000
0.5000 0.5000 0.0000
0.2174 0.0000 0.6516
0.2826 0.5000 0.3484
0.7174 0.5000 0.6516
0.7826 0.0000 0.3484
0.0000 0.5000 0.5000
0.5000 0.0000 0.5000
```

2.
Material: HfZr2BiH
Method: DFT, GGA-PBE
State: relaxed

Volume: 92.1 Å³/f.u.
Uncorrected energy: -7.116 eV per atom
Magnetic moment: 0.0 μB/f.u.

Cell and atoms, written as POSCAR:
```
HfZr2BiH
1.0
4.5163 0.0000 0.0000
0.0000 4.5163 0.0000
0.0000 0.0000 4.5174
Hf Zr Bi H
1 2 1 1
direct
0.0000 0.0000 0.0000
0.0000 0.5000 0.5000
0.5000 0.0000 0.5000
0.5000 0.5000 0.0000
0.0000 0.0000 0.5000
```

3.
Material: Ca3ZrBr
Method: DFT, GGA-PBE
State: relaxed

Volume: 236.4 Å³/f.u.
Distance to the lowest polymorph of the same formula: 0.5267 eV per atom
Magnetic moment: 4.9 μB/f.u.
ΔE_f (raw): 0.5660 eV per atom

Cell and atoms, written as POSCAR:
```
Ca3ZrBr
1.0
6.1832 0.0000 0.0000
0.0000 6.1832 0.0000
0.0000 0.0000 6.1832
Ca Zr Br
3 1 1
direct
0.0000 0.0000 0.5000
0.0000 0.5000 0.0000
0.5000 0.0000 0.0000
0.0000 0.0000 0.0000
0.5000 0.5000 0.5000
```